Record 1
First-principles (PBE) data for crystalline K3In8Ga3 at its relaxed geometry, as listed in the Alexandria database.

Results
Its space group is C2/m. The calculation puts the excess energy over the best structure of this formula in the dataset at 0.0000 eV per atom. Its total energy is -2.5284 eV per atom.

```
K3In8Ga3
1.0
9.054 -2.524 0.000
9.054 2.524 0.000
-6.223 0.000 8.685
K In Ga
3 8 3
direct
0.000 0.000 0.000 K
0.295 0.295 0.296 K
0.705 0.705 0.704 K
0.143 0.143 0.855 In
0.153 0.153 0.433 In
0.344 0.344 0.972 In
0.496 0.496 0.677 In
0.504 0.504 0.323 In
0.656 0.656 0.028 In
0.847 0.847 0.567 In
0.857 0.857 0.145 In
0.000 0.000 0.500 Ga
0.343 0.343 0.705 Ga
0.657 0.657 0.295 Ga
```

***

Record 2
First-principles (PBE) data for crystalline Zr2TaTe at its relaxed geometry, as listed in the Alexandria database.

Results
Its space group is Imm2. The uncorrected formation energy is -146 meV/atom. Its total energy is -8.1682 eV per atom.

```
Zr2TaTe
1.0
-1.835 2.409 4.836
1.835 -2.409 4.836
1.835 2.409 -4.836
Zr Ta Te
2 1 1
direct
0.000 0.000 0.000 Zr
0.746 0.246 0.500 Zr
0.510 0.510 0.000 Ta
0.266 0.766 0.500 Te
```

***

Record 3
First-principles (PBE) data for crystalline NdGa4Au3 at its relaxed geometry, as listed in the Alexandria database.

Results
Its space group is P4/mmm. Its total energy is -3.8099 eV per atom.

```
NdGa4Au3
1.0
4.306 0.000 0.000
0.000 4.306 0.000
0.000 0.000 8.893
Nd Ga Au
1 4 3
direct
0.000 0.000 0.000 Nd
0.000 0.500 0.324 Ga
0.000 0.500 0.676 Ga
0.500 0.000 0.324 Ga
0.500 0.000 0.676 Ga
0.000 0.000 0.500 Au
0.500 0.500 0.153 Au
0.500 0.500 0.847 Au
```

***

Record 4
First-principles (PBE) data for crystalline MgNp2F8 at its relaxed geometry, as listed in the Alexandria database.

Results
Its space group is C2. The uncorrected formation energy is -3391 meV/atom. The calculation puts the excess energy over the best structure of this formula in the dataset at 0.0080 eV per atom. Its total energy is -7.2498 eV per atom.

```
MgNp2F8
1.0
6.744 -2.101 0.000
6.744 2.101 0.000
-0.251 0.000 7.174
Mg Np F
1 2 8
direct
0.000 0.000 0.000 Mg
0.013 0.503 0.251 Np
0.497 0.987 0.749 Np
0.026 0.514 0.906 F
0.128 0.719 0.183 F
0.281 0.872 0.817 F
0.486 0.974 0.094 F
0.547 0.049 0.433 F
0.667 0.146 0.852 F
0.854 0.333 0.148 F
0.951 0.453 0.567 F
```

***

Record 5
First-principles (PBE) data for crystalline Hf2NpPt9 at its relaxed geometry, as listed in the Alexandria database.

Results
Its space group is P4/mmm. Its total energy is -8.1987 eV per atom.

```
Hf2NpPt9
1.0
4.068 0.000 0.000
0.000 4.068 0.000
0.000 0.000 12.261
Hf Np Pt
2 1 9
direct
0.000 0.000 0.164 Hf
0.000 0.000 0.836 Hf
0.000 0.000 0.500 Np
0.000 0.500 0.000 Pt
0.000 0.500 0.324 Pt
0.000 0.500 0.676 Pt
0.500 0.000 0.000 Pt
0.500 0.000 0.324 Pt
0.500 0.000 0.676 Pt
0.500 0.500 0.162 Pt
0.500 0.500 0.500 Pt
0.500 0.500 0.838 Pt
```

***

Record 6
First-principles (PBE) data for crystalline Tb2Pr2SmMg at its relaxed geometry, as listed in the Alexandria database.

Results
Its space group is Ibam. Its total energy is -4.0080 eV per atom.

```
Tb2Pr2SmMg
1.0
-3.444 8.927 3.219
3.444 -8.927 3.219
3.444 8.927 -3.219
Tb Pr Sm Mg
4 4 2 2
direct
0.152 0.153 0.305 Tb
0.348 0.653 0.002 Tb
0.652 0.347 0.998 Tb
0.848 0.847 0.695 Tb
0.153 0.663 0.815 Pr
0.347 0.163 0.510 Pr
0.653 0.837 0.490 Pr
0.847 0.337 0.185 Pr
0.250 0.750 0.500 Sm
0.750 0.250 0.500 Sm
0.250 0.250 0.000 Mg
0.750 0.750 0.000 Mg
```